First-principles (PBE with a Hubbard U) data for a geometry-optimized MnFeF4 structure, as listed in Alexandria.

Output
* raw total energy: -5.99 eV per atom
* total moment: 18.02 μB per cell

Unit cell a=4.903 b=5.489 c=5.846 alpha=90.00 beta=90.00 gamma=90.00
Atoms (fractional coordinates):
F  0.268  0.336  0.386
F  0.732  0.664  0.386
F  0.722  0.171  0.617
F  0.222  0.829  0.117
F  0.778  0.171  0.117
F  0.232  0.336  0.886
F  0.278  0.829  0.617
F  0.768  0.664  0.886
Fe  0.000  0.500  0.156
Fe  0.500  0.500  0.656
Mn  0.500  0.000  0.339
Mn  0.000  0.000  0.839